The following is a PBE-GGA calculation of an optimized crystal structure of Ti2Zn2Os, from the Alexandria database.

For the size of the total moment, the calculation gives 0.00 μB per formula unit. The calculation puts the formation energy from the elements at -2.60 kcal/mol of atoms. The value obtained for the uncorrected energy is -6.026 eV per atom.

It has space group P4/mbm (No. 127), with a = 6.711 Å, b = 6.711 Å, c = 3.318 Å, α = 90.00°, β = 90.00° and γ = 90.00°. The distinct sites, in fractional coordinates, are Ti at (0.179, 0.321, 0.000), Zn at (0.125, 0.625, 0.500) and Os at (0.000, 0.000, 0.500).